{
  "formula": "Li2CrMoO6",
  "functional": "PBE+U",
  "state": "optimized geometry",
  "total_magnetization_mub_per_cell": 4.00,
  "space_group": "P2_1/c",
  "e_tot_ev_per_atom": -6.538,
  "cell": [[5.111, 0.000, -0.020], [0.000, 5.259, 0.000], [0.017, 0.000, 7.386]],
  "species": ["Mo", "Mo", "O", "O", "O", "O", "O", "O", "O", "O", "O", "O", "O", "O", "Li", "Li", "Li", "Li", "Cr", "Cr"],
  "fractional_positions": [[0.500, 0.000, 0.500], [0.000, 0.500, 0.000], [0.111, 0.464, 0.750], [0.185, 0.194, 0.060], [0.611, 0.036, 0.250], [0.389, 0.964, 0.750], [0.815, 0.806, 0.940], [0.681, 0.307, 0.945], [0.819, 0.807, 0.555], [0.889, 0.536, 0.250], [0.181, 0.193, 0.445], [0.319, 0.693, 0.055], [0.685, 0.306, 0.560], [0.315, 0.694, 0.440], [0.503, 0.530, 0.752], [0.997, 0.030, 0.748], [0.003, 0.970, 0.252], [0.497, 0.470, 0.248], [0.000, 0.500, 0.500], [0.500, 0.000, 0.000]]
}